# 1
# BaTl3In3

A relaxed structure of BaTl3In3 (PBE, Alexandria via LeMat-Bulk).

## Properties
* ΔH_f (0 K): 54 kJ/mol of formula units
* distance to the lowest polymorph of the same formula: 205 meV/atom
* calculated volume: 556.84 Å³/cell

```
data_BaTl3In3
_space_group_name_H-M_alt 'P m -3 n'
_space_group_IT_number 223
_space_group_name_Hall '-P 4n 2 3'
_cell_length_a 8.2271
_cell_length_b 8.2271
_cell_length_c 8.2271
_cell_angle_alpha 90.00
_cell_angle_beta 90.00
_cell_angle_gamma 90.00
loop_
_atom_site_label
_atom_site_fract_x
_atom_site_fract_y
_atom_site_fract_z
Ba1 0.0000 0.0000 0.0000
Tl1 0.0000 0.2500 0.5000
In1 0.0000 0.5000 0.2500
```



# 2
# Ce4Pu2Hg3

A relaxed structure of Ce4Pu2Hg3 (PBE, Alexandria via LeMat-Bulk).

## Properties
* ΔH_f (0 K): -66 kJ/mol of formula units
* distance to the lowest polymorph of the same formula: 119 meV/atom
* calculated volume: 945.09 Å³/cell

```
data_Ce4Pu2Hg3
_space_group_name_H-M_alt 'C 1 2/m 1'
_space_group_IT_number 12
_cell_length_a 21.4210
_cell_length_b 4.8298
_cell_length_c 10.4698
_cell_angle_alpha 90.00
_cell_angle_beta 119.25
_cell_angle_gamma 90.00
loop_
_space_group_symop_operation_xyz
'x,y,z'
'-x,-y,-z'
'-x,y,-z'
'x,-y,z'
'x+1/2,y+1/2,z'
'-x+1/2,-y+1/2,-z'
'-x+1/2,y+1/2,-z'
'x+1/2,-y+1/2,z'
loop_
_atom_site_label
_atom_site_fract_x
_atom_site_fract_y
_atom_site_fract_z
Ce1 0.1385 0.0000 0.2597
Ce2 0.1419 0.5000 0.5305
Ce3 0.1765 0.0000 0.8380
Ce4 0.1771 0.5000 0.0167
Pu1 0.0563 0.5000 0.1667
Pu2 0.0586 0.0000 0.4447
Hg1 0.0478 0.5000 0.6855
Hg2 0.0499 0.0000 0.9149
Hg3 0.2487 0.5000 0.3811
```



# 3
# CaTcN2O

A relaxed structure of CaTcN2O (PBE, Alexandria via LeMat-Bulk).

## Properties
* uncorrected formation energy: -792 meV/atom
* calculated volume: 60.40 Å³/cell

```
data_CaTcN2O
_space_group_name_H-M_alt 'P 4/m m m'
_space_group_IT_number 123
_space_group_name_Hall '-P 4 2'
_cell_length_a 3.8817
_cell_length_b 3.8817
_cell_length_c 4.0086
_cell_angle_alpha 90.00
_cell_angle_beta 90.00
_cell_angle_gamma 90.00
loop_
_atom_site_label
_atom_site_fract_x
_atom_site_fract_y
_atom_site_fract_z
Ca1 0.0000 0.0000 0.0000
Tc1 0.5000 0.5000 0.5000
N1 0.0000 0.5000 0.5000
O1 0.5000 0.5000 0.0000
```



# 4
# Pa6CdSe12

A relaxed structure of Pa6CdSe12 (PBE, Alexandria via LeMat-Bulk).

## Properties
* uncorrected formation energy: -1189 meV/atom
* calculated volume: 1607.91 Å³/cell

```
data_Pa6CdSe12
_space_group_name_H-M_alt 'R -3'
_space_group_IT_number 148
_space_group_name_Hall '-R 3'
_cell_length_a 12.8366
_cell_length_b 12.8366
_cell_length_c 11.2675
_cell_angle_alpha 90.00
_cell_angle_beta 90.00
_cell_angle_gamma 120.00
loop_
_atom_site_label
_atom_site_fract_x
_atom_site_fract_y
_atom_site_fract_z
Pa1 0.0488 0.7789 0.1459
Cd1 0.0000 0.0000 0.5000
Se1 0.0344 0.8228 0.8867
Se2 0.0498 0.8362 0.3910
```



# 5
# NiPdN2

A relaxed structure of NiPdN2 (PBE, Alexandria via LeMat-Bulk).

## Properties
* distance to the lowest polymorph of the same formula: 0 meV/atom
* uncorrected formation energy: 604 meV/atom
* calculated volume: 125.39 Å³/cell

```
data_NiPdN2
_space_group_name_H-M_alt 'R -3 m'
_space_group_IT_number 166
_space_group_name_Hall '-R 3 2"'
_cell_length_a 2.8449
_cell_length_b 2.8449
_cell_length_c 17.8896
_cell_angle_alpha 90.00
_cell_angle_beta 90.00
_cell_angle_gamma 120.00
loop_
_atom_site_label
_atom_site_fract_x
_atom_site_fract_y
_atom_site_fract_z
Ni1 0.0000 0.0000 0.0000
Pd1 0.0000 0.0000 0.5000
N1 0.0000 0.0000 0.3895
```



# 6
# BaLiN2

A relaxed structure of BaLiN2 (PBE, Alexandria via LeMat-Bulk).

## Properties
* distance to the lowest polymorph of the same formula: 0 meV/atom
* uncorrected formation energy: 289 meV/atom
* calculated volume: 240.05 Å³/cell

```
data_BaLiN2
_space_group_name_H-M_alt 'I 41/a m d'
_space_group_IT_number 141
_cell_length_a 4.2475
_cell_length_b 4.2475
_cell_length_c 13.3057
_cell_angle_alpha 90.00
_cell_angle_beta 90.00
_cell_angle_gamma 90.00
loop_
_space_group_symop_operation_xyz
'x,y,z'
'-x,-y,-z'
'-y+1/4,x+3/4,z+1/4'
'y+1/4,-x+3/4,-z+1/4'
'-x+1/2,-y,z+1/2'
'x+1/2,y,-z+1/2'
'y+1/4,-x+1/4,z+3/4'
'-y+1/4,x+1/4,-z+3/4'
'x,-y,-z'
'-x,y,z'
'-y+1/4,-x+1/4,-z+3/4'
'y+1/4,x+1/4,z+3/4'
'-x+1/2,y,-z+1/2'
'x+1/2,-y,z+1/2'
'y+1/4,x+3/4,-z+1/4'
'-y+1/4,-x+3/4,z+1/4'
'x+1/2,y+1/2,z+1/2'
'-x+1/2,-y+1/2,-z+1/2'
'-y+3/4,x+1/4,z+3/4'
'y+3/4,-x+1/4,-z+3/4'
'-x,-y+1/2,z'
'x,y+1/2,-z'
'y+3/4,-x+3/4,z+1/4'
'-y+3/4,x+3/4,-z+1/4'
'x+1/2,-y+1/2,-z+1/2'
'-x+1/2,y+1/2,z+1/2'
'-y+3/4,-x+3/4,-z+1/4'
'y+3/4,x+3/4,z+1/4'
'-x,y+1/2,-z'
'x,-y+1/2,z'
'y+3/4,x+1/4,-z+3/4'
'-y+3/4,-x+1/4,z+3/4'
loop_
_atom_site_label
_atom_site_fract_x
_atom_site_fract_y
_atom_site_fract_z
Ba1 0.0000 0.2500 0.3750
Li1 0.0000 0.2500 0.8750
N1 0.0000 0.0000 0.0000
```



# 7
# La3Ce2PrS6

A relaxed structure of La3Ce2PrS6 (PBE, Alexandria via LeMat-Bulk).

## Properties
* uncorrected formation energy: -2102 meV/atom
* calculated volume: 587.36 Å³/cell

```
data_La3Ce2PrS6
_space_group_name_H-M_alt 'C 1 2/m 1'
_space_group_IT_number 12
_cell_length_a 7.1012
_cell_length_b 12.3067
_cell_length_c 7.1288
_cell_angle_alpha 90.00
_cell_angle_beta 109.48
_cell_angle_gamma 90.00
loop_
_space_group_symop_operation_xyz
'x,y,z'
'-x,-y,-z'
'-x,y,-z'
'x,-y,z'
'x+1/2,y+1/2,z'
'-x+1/2,-y+1/2,-z'
'-x+1/2,y+1/2,-z'
'x+1/2,-y+1/2,z'
loop_
_atom_site_label
_atom_site_fract_x
_atom_site_fract_y
_atom_site_fract_z
La1 0.0000 0.0000 0.0000
La2 0.0000 0.3353 0.0000
Ce1 0.0000 0.1666 0.5000
Pr1 0.0000 0.5000 0.5000
S1 0.2435 0.0000 0.7422
S2 0.2500 0.1686 0.2558
```



# 8
# CsSc2AgBr8

A relaxed structure of CsSc2AgBr8 (PBE, Alexandria via LeMat-Bulk).

## Properties
* uncorrected formation energy: -1442 meV/atom
* calculated volume: 1351.66 Å³/cell

```
data_CsSc2AgBr8
_space_group_name_H-M_alt 'R -3'
_space_group_IT_number 148
_space_group_name_Hall '-R 3'
_cell_length_a 7.1440
_cell_length_b 7.1440
_cell_length_c 30.5814
_cell_angle_alpha 90.00
_cell_angle_beta 90.00
_cell_angle_gamma 120.00
loop_
_atom_site_label
_atom_site_fract_x
_atom_site_fract_y
_atom_site_fract_z
Cs1 0.0000 0.0000 0.0000
Sc1 0.0000 0.0000 0.2445
Ag1 0.0000 0.0000 0.5000
Br1 0.0000 0.0000 0.3261
Br2 0.0010 0.3396 0.7773
```



no.,magnetization (μB per cell),DOS at the Fermi energy (states/eV/atom)
1,0.00,0.81
2,59.84,2.18
3,0.00,0.39
4,24.01,1.64
5,0.00,0.47
6,1.13,0.67
7,3.21,1.11
8,0.00,0.00